This record from Alexandria via LeMat-Bulk describes an optimized crystal structure of CaPmBiO4. The functional is PBE.

Computed properties:
The crystal system is orthorhombic. For the uncorrected formation energy, the calculation gives -2.443 eV/atom.

The structure in extended XYZ format:
```
14
Lattice="6.9807 0.0000 0.0000 -3.4903 6.1057 -0.4486 0.0000 -3.6946 6.0759" Properties=species:S:1:pos:R:3 pbc="T T T"
Ca 3.4903 4.1253 0.4279
Ca 0.0000 -1.7143 5.1995
Pm 3.4903 -1.8473 3.0380
Pm 3.4903 0.0000 0.0000
Bi 1.7452 1.2055 2.8137
Bi -1.7452 1.2055 2.8137
O 3.4903 0.2366 4.1881
O 1.9075 -0.8520 1.5626
O 5.0732 -0.8520 1.5626
O 3.4903 1.9800 1.3211
O 0.0000 0.4311 4.3063
O 1.5829 3.2630 4.0648
O -1.5829 3.2630 4.0648
O 0.0000 2.1744 1.4393
```